(1)
A relaxed structure of Ce2YHo3Sb6, computed with GGA-PBE.

The energy relative to the elements, uncorrected is -1.099 eV per atom. As for the symmetry: No. 12.

Cell lengths 4.4180, 8.8323, 9.8676 Å; angles 102.96, 102.94, 90.00 degrees
With the nearest neighbours (Å) after each atom.
Positions (direct):
Ho 0.8330 0.1659 0.6661  6 Sb 3.09-3.11
Ho 0.1670 0.8341 0.3339  6 Sb 3.09-3.11
Ho 0.5000 0.5000 0.0000  6 Sb 3.10-3.12
Sb 0.3347 0.4126 0.6693  3 Ho 3.10, 3 Ce 3.16
Sb 0.6653 0.5874 0.3307  3 Ho 3.10, 3 Ce 3.16
Sb 0.3332 0.9217 0.6665  3 Ho 3.09-3.11, 1 Y 3.12, 2 Ce 3.15
Sb 0.6667 0.0783 0.3335  3 Ho 3.09-3.11, 1 Y 3.12, 2 Ce 3.15
Sb 0.9980 0.2503 0.9960  3 Ho 3.09-3.12, 2 Y 3.13, 1 Ce 3.14
Sb 0.0020 0.7497 0.0040  3 Ho 3.09-3.12, 2 Y 3.13, 1 Ce 3.14
Y 0.5000 0.0000 0.0000  6 Sb 3.12-3.13
Ce 0.8343 0.6683 0.6686  6 Sb 3.14-3.16
Ce 0.1657 0.3317 0.3314  6 Sb 3.14-3.16

(2)
A relaxed structure of K4Pu3SnTe8, computed with GGA-PBE.

The energy relative to the elements, uncorrected is -0.962 eV per atom. As for the symmetry: No. 164.

Cell lengths 9.1122, 8.3639, 9.1157 Å; angles 89.97, 119.99, 90.00 degrees
With the nearest neighbours (Å) after each atom.
Positions (direct):
Pu 0.5000 0.5000 0.5000  6 Te 3.12-3.14
Pu 0.5000 0.5000 0.0000  6 Te 3.12-3.14
Pu 0.0000 0.5000 0.5000  6 Te 3.12-3.14
K 0.0000 0.0000 0.0000  6 Te 3.65
K 0.5000 0.0000 0.5000  6 Te 3.57-3.60
K 0.0000 0.0000 0.5000  6 Te 3.57-3.60
K 0.5000 0.0000 0.0000  6 Te 3.58-3.60
Te 0.3423 0.2940 0.1713  2 Pu 3.12, 1 Sn 3.20
Te 0.6666 0.7058 0.3331  3 Pu 3.14
Te 0.6577 0.7060 0.8287  2 Pu 3.12, 1 Sn 3.20
Te 0.1710 0.7060 0.3419  2 Pu 3.12, 1 Sn 3.20
Te 0.3334 0.2942 0.6669  3 Pu 3.14
Te 0.8290 0.2940 0.6581  2 Pu 3.12, 1 Sn 3.20
Te 0.1710 0.7060 0.8287  2 Pu 3.12, 1 Sn 3.20
Te 0.8290 0.2940 0.1713  2 Pu 3.12, 1 Sn 3.20
Sn 0.0000 0.5000 0.0000  6 Te 3.20

(3)
A relaxed structure of MgNbP2, computed with GGA-PBE.

The calculation puts the formation energy at -560 meV/atom. As for the symmetry: No. 160.

Cell lengths 3.5125, 3.5125, 6.9347 Å; angles 75.33, 75.33, 60.00 degrees
With the nearest neighbours (Å) after each atom.
Positions (direct):
P 0.2556 0.2556 0.2332  3 Nb 2.55, 3 Mg 2.70
P 0.0782 0.0782 0.7655  3 Nb 2.56, 3 Mg 2.68
Nb 0.6667 0.6667 0.0000  6 P 2.55-2.56
Mg 0.4996 0.4996 0.5013  6 P 2.68-2.70

(4)
A relaxed structure of V3Cr3W, computed with GGA-PBE.

The calculation puts the formation energy at 254 meV/atom. As for the symmetry: No. 65.

Cell lengths 5.8239, 5.8239, 5.6761 Å; angles 90.00, 90.00, 93.04 degrees
With the nearest neighbours (Å) after each atom.
Positions (direct):
V 0.7687 0.2313 0.0000  6 Cr 2.43-2.47
V 0.2313 0.7687 0.0000  6 Cr 2.43-2.47
V 0.2747 0.7253 0.5000  6 Cr 2.46-2.71
V 0.7627 0.7627 0.5000  6 Cr 2.36-2.54
V 0.7253 0.2747 0.5000  6 Cr 2.46-2.71
V 0.2373 0.2373 0.5000  6 Cr 2.36-2.54
Cr 0.0000 0.5000 0.7479  6 V 2.46-2.54, 2 W 2.58
Cr 0.0000 0.0000 0.7468  4 V 2.36-2.43
Cr 0.0000 0.0000 0.2532  4 V 2.36-2.43
Cr 0.0000 0.5000 0.2521  6 V 2.46-2.54, 2 W 2.58
Cr 0.5000 0.0000 0.2521  6 V 2.46-2.54, 2 W 2.58
Cr 0.5000 0.0000 0.7479  6 V 2.46-2.54, 2 W 2.58
W 0.7067 0.7067 0.0000  6 Cr 2.58-2.76, 4 V 2.81-2.87
W 0.2933 0.2933 0.0000  6 Cr 2.58-2.76, 4 V 2.81-2.87

(5)
A relaxed structure of SbTe2Ru, computed with GGA-PBE.

The energy relative to the elements, uncorrected is 0.081 eV per atom. As for the symmetry: No. 12.

Cell lengths 3.9724, 3.9724, 8.5593 Å; angles 86.55, 86.55, 48.08 degrees
With the nearest neighbours (Å) after each atom.
Positions (direct):
Ru 0.2500 0.2500 0.2500  6 Te 2.68-2.69
Te 0.5348 0.5348 0.4347  3 Ru 2.68-2.69
Te 0.9652 0.9652 0.0653  3 Ru 2.68-2.69
Sb 0.7500 0.7500 0.7500  2 Te 3.21, 2 Sb 3.24

(6)
A relaxed structure of VCoH2Pt, computed with GGA-PBE.

As for the total DFT energy (no corrections): -26.2 eV for the cell shown. As for the symmetry: No. 123.

Cell lengths 3.4872, 4.9863, 3.4872 Å; angles 90.00, 90.00, 90.00 degrees
With the nearest neighbours (Å) after each atom.
Positions (direct):
V 0.0000 0.0000 0.0000  4 H 1.74
Pt 0.0000 0.5000 0.0000  4 Co 2.47, 2 V 2.49
Co 0.5000 0.5000 0.5000  4 Pt 2.47
H 0.5000 0.0000 0.0000  2 V 1.74
H 0.0000 0.0000 0.5000  2 V 1.74

(7)
A relaxed structure of TaGaNi2Te, computed with GGA-PBE.

The energy relative to the elements, uncorrected is 0.940 eV per atom. As for the symmetry: No. 123.

Cell lengths 4.5122, 5.2171, 4.5122 Å; angles 90.00, 90.00, 90.00 degrees
With the nearest neighbours (Å) after each atom.
Positions (direct):
Ni 0.5000 0.0000 0.0000  2 Te 2.26
Ni 0.0000 0.0000 0.5000  2 Te 2.26
Ta 0.0000 0.5000 0.0000  2 Te 2.61
Ga 0.5000 0.5000 0.5000  4 Ta 3.19, 8 Ni 3.45
Te 0.0000 0.0000 0.0000  4 Ni 2.26

(8)
A relaxed structure of Ca4TbTl2, computed with GGA-PBE.

The calculation puts the formation energy at -45 meV/atom. As for the symmetry: No. 166.

Cell lengths 5.4641, 5.4641, 10.6827 Å; angles 75.18, 75.18, 60.00 degrees
With the nearest neighbours (Å) after each atom.
Positions (direct):
Ca 0.1022 0.1022 0.6935  3 Tl 3.32, 3 Ca 3.71, 3 Tb 3.72
Ca 0.2950 0.2950 0.1149  4 Tl 3.26-3.28
Ca 0.8978 0.8978 0.3065  3 Tl 3.32, 3 Ca 3.71, 3 Tb 3.72
Ca 0.7050 0.7050 0.8851  4 Tl 3.26-3.28
Tl 0.5986 0.5986 0.2041  1 Tb 3.02, 7 Ca 3.26-3.32
Tl 0.4014 0.4014 0.7959  1 Tb 3.02, 7 Ca 3.26-3.32
Tb 0.5000 0.5000 0.5000  2 Tl 3.02

(9)
A relaxed structure of Re2SiAu, computed with GGA-PBE.

The energy relative to the elements, uncorrected is 0.380 eV per atom. As for the symmetry: No. 119.

Cell lengths 4.7549, 4.7549, 4.7549 Å; angles 131.02, 131.02, 71.78 degrees
With the nearest neighbours (Å) after each atom.
Positions (direct):
Si 0.5000 0.5000 0.0000  8 Re 2.76-2.79, 4 Au 2.76
Re 0.2500 0.7500 0.5000  4 Re 2.76, 4 Si 2.76, 4 Au 2.79
Re 0.0000 0.0000 0.0000  4 Au 2.76, 4 Re 2.76, 4 Si 2.79
Au 0.7500 0.2500 0.5000  4 Si 2.76, 8 Re 2.76-2.79

(10)
A relaxed structure of GaCu4Au5, computed with GGA-PBE.

The calculation puts the formation energy at 18 meV/atom. As for the symmetry: No. 12.

Cell lengths 2.8553, 8.0864, 7.1625 Å; angles 80.21, 101.50, 90.00 degrees
With the nearest neighbours (Å) after each atom.
Positions (direct):
Au 0.1849 0.4019 0.3699  3 Cu 2.66-2.93, 6 Au 2.86-2.95
Au 0.5000 0.5000 0.0000  4 Cu 2.61, 2 Au 2.86
Au 0.1509 0.7962 0.3019  4 Cu 2.68-2.84, 2 Ga 2.83, 4 Au 2.86-2.94
Au 0.8491 0.2038 0.6981  4 Cu 2.68-2.84, 2 Ga 2.83, 4 Au 2.86-2.94
Au 0.8151 0.5981 0.6301  3 Cu 2.66-2.93, 6 Au 2.86-2.95
Cu 0.3183 0.9137 0.6366  4 Cu 2.54-2.59, 1 Au 2.68, 1 Ga 2.76
Cu 0.6817 0.0863 0.3634  4 Cu 2.54-2.59, 1 Au 2.68, 1 Ga 2.76
Cu 0.0411 0.2264 0.0823  2 Ga 2.47, 2 Cu 2.54, 4 Au 2.61-2.73
Cu 0.9589 0.7736 0.9177  2 Ga 2.47, 2 Cu 2.54, 4 Au 2.61-2.73
Ga 0.5000 0.0000 0.0000  6 Cu 2.47-2.76

(11)
A relaxed structure of CdTcSe, computed with GGA-PBE.

The energy relative to the elements, uncorrected is 0.368 eV per atom. As for the symmetry: No. 42.

Cell lengths 7.8955, 7.6135, 3.0379 Å; angles 83.97, 73.53, 22.50 degrees
With the nearest neighbours (Å) after each atom.
Positions (direct):
Cd 0.0183 0.0183 0.9817  2 Tc 2.85, 6 Cd 3.04-3.12
Tc 0.6785 0.6785 0.3215  2 Se 2.43
Se 0.3033 0.3033 0.6967  2 Tc 2.43